# 1
Entry from Alexandria via LeMat-Bulk: a relaxed structure of PuUTe (GGA-PBE).

Cell lengths 4.4031, 4.4031, 7.6155 Å; angles 90.00, 90.00, 90.00 degrees
Closest atoms and distances in Å follow each position.
Atoms (fractional coordinates):
Pu 0.5000 0.0000 0.7504  4 U 2.91, 5 Te 3.16-3.26
Pu 0.0000 0.5000 0.2496  4 U 2.91, 5 Te 3.16-3.26
Te 0.5000 0.0000 0.1778  5 Pu 3.16-3.26, 4 U 3.30
Te 0.0000 0.5000 0.8222  5 Pu 3.16-3.26, 4 U 3.30
U 0.5000 0.5000 0.5000  4 Pu 2.91, 4 U 3.11
U 0.0000 0.0000 0.5000  4 Pu 2.91, 4 U 3.11

Computed properties:
Formation energy from raw total energies: -0.262 eV per atom
N(E_F): 11.54 states/eV per cell

---

# 2
Entry from Alexandria via LeMat-Bulk: a relaxed structure of Na5LuH4C4O14 (GGA-PBE).

Cell lengths 7.6705, 7.6705, 11.5938 Å; angles 90.00, 90.00, 90.00 degrees
Closest atoms and distances in Å follow each position.
Atoms (fractional coordinates):
H 0.9373 0.4182 0.1155  1 O 0.99
H 0.5818 0.9373 0.8845  1 O 0.99
H 0.0627 0.5818 0.1155  1 O 0.99
H 0.9182 0.4373 0.6155  1 O 0.99
H 0.4373 0.0818 0.3845  1 O 0.99
H 0.0818 0.5627 0.6155  1 O 0.99
H 0.4182 0.0627 0.8845  1 O 0.99
H 0.5627 0.9182 0.3845  1 O 0.99
O 0.9121 0.2311 0.3848  1 C 1.27
O 0.8204 0.9065 0.1458  1 C 1.32
O 0.0000 0.5000 0.6674  2 H 0.99
O 0.1592 0.7464 0.0345  1 C 1.32
O 0.7689 0.9121 0.6152  1 C 1.27
O 0.8408 0.2536 0.0345  1 C 1.32
O 0.7311 0.4121 0.8848  1 C 1.27
O 0.3408 0.2464 0.4655  1 C 1.32
O 0.2464 0.6592 0.5345  1 C 1.32
O 0.6796 0.4065 0.3542  1 C 1.32
O 0.0935 0.8204 0.8542  1 C 1.32
O 0.4121 0.2689 0.1152  1 C 1.27
O 0.7464 0.8408 0.9655  1 C 1.32
O 0.0000 0.5000 0.1674  2 H 0.99
O 0.7536 0.3408 0.5345  1 C 1.32
O 0.5935 0.6796 0.6458  1 C 1.32
O 0.0879 0.7689 0.3848  1 C 1.27
O 0.2536 0.1592 0.9655  1 C 1.32
O 0.6592 0.7536 0.4655  1 C 1.32
O 0.2689 0.5879 0.8848  1 C 1.27
O 0.2311 0.0879 0.6152  1 C 1.27
O 0.1796 0.0935 0.1458  1 C 1.32
O 0.4065 0.3204 0.6458  1 C 1.32
O 0.5000 0.0000 0.3326  2 H 0.99
O 0.3204 0.5935 0.3542  1 C 1.32
O 0.5000 0.0000 0.8326  2 H 0.99
O 0.5879 0.7311 0.1152  1 C 1.27
O 0.9065 0.1796 0.8542  1 C 1.32
Na 0.0000 0.0000 0.5000  4 O 2.32
Na 0.1772 0.3197 0.2904  5 O 2.41-2.48
Na 0.3228 0.8197 0.2096  5 O 2.41-2.48
Na 0.3197 0.8228 0.7096  5 O 2.41-2.48
Na 0.5000 0.5000 0.0000  4 O 2.32
Na 0.6803 0.1772 0.7096  5 O 2.41-2.48
Na 0.8197 0.6772 0.7904  5 O 2.41-2.48
Na 0.6772 0.1803 0.2096  5 O 2.41-2.48
Na 0.8228 0.6803 0.2904  5 O 2.41-2.48
Na 0.1803 0.3228 0.7904  5 O 2.41-2.48
C 0.7875 0.3229 0.4233  3 O 1.27-1.32
C 0.1771 0.7125 0.9233  3 O 1.27-1.32
C 0.7125 0.8229 0.0767  3 O 1.27-1.32
C 0.6771 0.7875 0.5767  3 O 1.27-1.32
C 0.8229 0.2875 0.9233  3 O 1.27-1.32
C 0.2875 0.1771 0.0767  3 O 1.27-1.32
C 0.3229 0.2125 0.5767  3 O 1.27-1.32
C 0.2125 0.6771 0.4233  3 O 1.27-1.32
Lu 0.5000 0.5000 0.5000  8 O 2.30-2.33
Lu 0.0000 0.0000 0.0000  8 O 2.30-2.33

Computed properties:
VASP energy: -360.0 eV for the cell shown
N(E_F): 0.00 states/eV per cell

---

# 3
Entry from Alexandria via LeMat-Bulk: a relaxed structure of Pa2GaSb (GGA-PBE).

Cell lengths 4.2957, 4.7184, 4.7184 Å; angles 90.00, 90.00, 90.00 degrees
Closest atoms and distances in Å follow each position.
Atoms (fractional coordinates):
Ga 0.5000 0.5000 0.5000  8 Pa 3.19, 4 Sb 3.34
Pa 0.0000 0.0000 0.5000  4 Sb 3.19, 4 Ga 3.19, 4 Pa 3.34
Pa 0.0000 0.5000 0.0000  4 Sb 3.19, 4 Ga 3.19, 4 Pa 3.34
Sb 0.5000 0.0000 0.0000  8 Pa 3.19, 4 Ga 3.34

Computed properties:
Formation energy from raw total energies: -0.233 eV per atom
N(E_F): 8.32 states/eV per cell